First-principles (PBE) data for a relaxed structure of HfNbIn, as listed in OQMD via LeMat-Bulk.

## Properties
Crystal system = cubic
VASP energy = -0.514 Ry per atom

a = 6.5732 Å, b = 6.5732 Å, c = 6.5732 Å
α = 90.00°, β = 90.00°, γ = 90.00°
Space group F-43m (No. 216)
Asymmetric unit:
Hf1 0.0000 0.0000 0.0000 [4 per cell]
Nb1 0.0000 0.0000 0.5000 [4 per cell]
In1 0.2500 0.2500 0.2500 [4 per cell]

***

First-principles (PBE) data for a relaxed structure of Hf2Nb2In, as listed in OQMD via LeMat-Bulk.

## Properties
Crystal system = tetragonal
VASP energy = -0.594 Ry per atom

a = 3.9264 Å, b = 3.9264 Å, c = 14.3323 Å
α = 90.00°, β = 90.00°, γ = 90.00°
Space group I4/mmm (No. 139)
Asymmetric unit:
Hf1 0.0000 0.0000 0.0987 [4 per cell]
Nb1 0.0000 0.5000 0.2500 [4 per cell]
In1 0.0000 0.0000 0.5000 [2 per cell]

***

First-principles (PBE) data for a relaxed structure of HfNbInNi, as listed in OQMD via LeMat-Bulk.

## Properties
Crystal system = cubic
VASP energy = -0.510 Ry per atom

a = 6.6233 Å, b = 6.6233 Å, c = 6.6233 Å
α = 90.00°, β = 90.00°, γ = 90.00°
Space group F-43m (No. 216)
Asymmetric unit:
Hf1 0.0000 0.0000 0.0000 [4 per cell]
Nb1 0.2500 0.2500 0.2500 [4 per cell]
In1 0.0000 0.0000 0.5000 [4 per cell]
Ni1 0.2500 0.2500 0.7500 [4 per cell]

***

First-principles (PBE) data for a relaxed structure of NdHfIn, as listed in OQMD via LeMat-Bulk.

## Properties
Crystal system = cubic
VASP energy = -0.407 Ry per atom

a = 7.1352 Å, b = 7.1352 Å, c = 7.1352 Å
α = 90.00°, β = 90.00°, γ = 90.00°
Space group F-43m (No. 216)
Asymmetric unit:
Nd1 0.0000 0.0000 0.0000 [4 per cell]
Hf1 0.0000 0.0000 0.5000 [4 per cell]
In1 0.2500 0.2500 0.7500 [4 per cell]

***

First-principles (PBE) data for a relaxed structure of Hf2In2Ni, as listed in OQMD via LeMat-Bulk.

## Properties
Crystal system = tetragonal
VASP energy = -0.415 Ry per atom

a = 3.8141 Å, b = 3.8141 Å, c = 15.4016 Å
α = 90.00°, β = 90.00°, γ = 90.00°
Space group I4/mmm (No. 139)
Asymmetric unit:
Hf1 0.0000 0.0000 0.0898 [4 per cell]
In1 0.0000 0.5000 0.2500 [4 per cell]
Ni1 0.0000 0.0000 0.5000 [2 per cell]

***

First-principles (PBE) data for a relaxed structure of HfInNi2, as listed in OQMD via LeMat-Bulk.

## Properties
Crystal system = cubic
VASP energy = -0.441 Ry per atom

a = 6.3135 Å, b = 6.3135 Å, c = 6.3135 Å
α = 90.00°, β = 90.00°, γ = 90.00°
Space group F-43m (No. 216)
Asymmetric unit:
Hf1 0.0000 0.0000 0.0000 [4 per cell]
In1 0.2500 0.2500 0.7500 [4 per cell]
Ni1 0.0000 0.0000 0.5000 [4 per cell]
Ni2 0.2500 0.2500 0.2500 [4 per cell]

***

- The highest VASP energy belongs to which entry?
  NdHfIn

***

Please write out number 3 again, unchanged.
First-principles (PBE) data for a relaxed structure of HfNbInNi, as listed in OQMD via LeMat-Bulk.

## Properties
Crystal system = cubic
VASP energy = -0.510 Ry per atom

a = 6.6233 Å, b = 6.6233 Å, c = 6.6233 Å
α = 90.00°, β = 90.00°, γ = 90.00°
Space group F-43m (No. 216)
Asymmetric unit:
Hf1 0.0000 0.0000 0.0000 [4 per cell]
Nb1 0.2500 0.2500 0.2500 [4 per cell]
In1 0.0000 0.0000 0.5000 [4 per cell]
Ni1 0.2500 0.2500 0.7500 [4 per cell]